Entry 1:
A crystal of NpIO relaxed with PBEsol, computed with SCAN.

Summary:
SG: P4/nmm, No. 129
M_tot: 1.3333 μB/atom
VASP energy: -52.092 eV per atom
uncorrected formation energy: -2.0983 eV per atom

Cell lengths 3.915, 3.915, 9.171 Å; angles 90.00, 90.00, 90.00 degrees
Element x y z (fractional)
O 0.500 0.500 0.000
O 0.000 0.000 0.000
I 0.500 0.000 0.675
I 0.000 0.500 0.325
Np 0.500 0.000 0.127
Np 0.000 0.500 0.873

***

Entry 2:
A crystal of ScZnMo relaxed with PBEsol, computed with SCAN.

Summary:
SG: P3m1, No. 156
M_tot: 0.0000 μB/atom
VASP energy: -20.723 eV per atom
energy of formation from the pure elements: 0.1561 eV per atom
energy relative to the lowest polymorph listed for this composition: 138 meV/atom

Cell lengths 2.720, 4.582, 4.582 Å; angles 120.00, 90.00, 90.00 degrees
Element x y z (fractional)
Sc 0.657 0.333 0.667
Zn 0.270 0.667 0.333
Mo 0.073 0.000 0.000

***

Entry 3:
A crystal of SiMoPPt2 relaxed with PBEsol, computed with SCAN.

Summary:
SG: P4/mmm, No. 123
M_tot: 0.2514 μB/atom
VASP energy: -38.386 eV per atom
uncorrected formation energy: 0.7517 eV per atom

Cell lengths 4.400, 4.400, 4.563 Å; angles 90.00, 90.00, 90.00 degrees
Element x y z (fractional)
Pt 0.500 0.000 0.000
Pt 0.000 0.500 0.000
Mo 0.000 0.000 0.500
Si 0.000 0.000 0.000
P 0.500 0.500 0.500

***

Entry 4:
A crystal of NaLaPb2C relaxed with PBEsol, computed with SCAN.

Summary:
SG: P4/mmm, No. 123
M_tot: 0.0000 μB/atom
VASP energy: -40.911 eV per atom
energy of formation from the pure elements: 0.8853 eV per atom

Cell lengths 4.415, 6.215, 6.215 Å; angles 90.00, 90.00, 90.00 degrees
Element x y z (fractional)
Na 0.500 0.500 0.500
Pb 0.000 0.000 0.500
Pb 0.000 0.500 0.000
La 0.000 0.000 0.000
C 0.500 0.000 0.000

***

Entry 5:
A crystal of KCdSnAu2 relaxed with PBEsol, computed with SCAN.

Summary:
SG: P4/mmm, No. 123
M_tot: 0.0000 μB/atom
VASP energy: -42.411 eV per atom
energy of formation from the pure elements: 0.1842 eV per atom

Cell lengths 5.139, 5.139, 6.441 Å; angles 90.00, 90.00, 90.00 degrees
Element x y z (fractional)
Sn 0.000 0.000 0.000
Au 0.000 0.500 0.000
Au 0.500 0.000 0.000
K 0.000 0.000 0.500
Cd 0.500 0.500 0.500

***

Entry 6:
A crystal of CoRh relaxed with PBEsol, computed with SCAN.

Summary:
SG: Cmcm, No. 63
M_tot: 1.4286 μB/atom
VASP energy: -25.510 eV per atom
energy of formation from the pure elements: 0.0280 eV per atom

Cell lengths 2.596, 3.928, 4.922 Å; angles 90.00, 105.29, 90.00 degrees
Element x y z (fractional)
Co 0.564 0.250 0.127
Co 0.436 0.750 0.873
Rh 0.172 0.750 0.345
Rh 0.828 0.250 0.655

***

What is the M_tot in the third record? 0.2514 μB/atom

***

Look up the VASP energy of the first one. -52.092 eV per atom

***

Which value of VASP energy does entry 5 give? -42.411 eV per atom